{"formula": "Cs2SmUS6", "functional": "PBE", "state": "relaxed", "formation_energy_uncorrected_ev_per_atom": -1.3570, "space_group": "Fm-3m, No. 225", "dos_at_fermi_per_ev_cell": 14.9, "total_energy_ev_per_cell": -112.10, "magmom_total_mub_per_cell": 0.0, "lattice_angstrom": [[-5.086, 3.741, 4.144], [-1.377, -6.272, 3.972], [7.649, 2.714, 6.938]], "species": ["Cs", "Cs", "Cs", "Cs", "Sm", "Sm", "U", "U", "S", "S", "S", "S", "S", "S", "S", "S", "S", "S", "S", "S"], "fractional_positions": [[0.500, 0.750, 0.250], [0.000, 0.250, 0.750], [0.500, 0.750, 0.750], [0.000, 0.250, 0.250], [0.000, 0.750, 0.500], [0.500, 0.250, 0.000], [0.500, 0.250, 0.500], [0.000, 0.750, 0.000], [0.500, 0.250, 0.261], [0.500, 0.250, 0.739], [0.000, 0.750, 0.239], [0.000, 0.750, 0.761], [0.261, 0.011, 0.500], [0.739, 0.011, 0.500], [0.261, 0.489, 0.500], [0.739, 0.489, 0.500], [0.761, 0.511, 0.000], [0.239, 0.511, 0.000], [0.239, 0.989, 0.000], [0.761, 0.989, 0.000]]}